# 1
Here is a relaxed structure of Nd2PaSe5 from Alexandria via LeMat-Bulk. Energies are from PBE.

CIF file:
```
data_Nd2PaSe5
_symmetry_space_group_name_H-M 'P 1'
_symmetry_Int_Tables_number 1
_cell_length_a 12.590
_cell_length_b 8.418
_cell_length_c 7.881
_cell_angle_alpha 90.00
_cell_angle_beta 90.00
_cell_angle_gamma 90.00
loop_
_symmetry_equiv_pos_as_xyz
'x,y,z'
loop_
_atom_site_label
_atom_site_type_symbol
_atom_site_fract_x
_atom_site_fract_y
_atom_site_fract_z
Nd1 Nd 0.179 0.002 0.024
Nd2 Nd 0.179 0.498 0.024
Nd3 Nd 0.321 0.502 0.524
Nd4 Nd 0.321 0.998 0.524
Nd5 Nd 0.679 0.002 0.476
Nd6 Nd 0.679 0.498 0.476
Nd7 Nd 0.821 0.502 0.976
Nd8 Nd 0.821 0.998 0.976
Pa1 Pa 0.007 0.750 0.574
Pa2 Pa 0.493 0.250 0.074
Pa3 Pa 0.507 0.750 0.926
Pa4 Pa 0.993 0.250 0.426
Se1 Se 0.001 0.750 0.955
Se2 Se 0.097 0.043 0.664
Se3 Se 0.097 0.457 0.664
Se4 Se 0.183 0.750 0.329
Se5 Se 0.214 0.250 0.304
Se6 Se 0.286 0.750 0.804
Se7 Se 0.317 0.250 0.829
Se8 Se 0.403 0.543 0.164
Se9 Se 0.403 0.957 0.164
Se10 Se 0.499 0.250 0.455
Se11 Se 0.501 0.750 0.545
Se12 Se 0.597 0.043 0.836
Se13 Se 0.597 0.457 0.836
Se14 Se 0.683 0.750 0.171
Se15 Se 0.714 0.250 0.196
Se16 Se 0.786 0.750 0.696
Se17 Se 0.817 0.250 0.671
Se18 Se 0.903 0.543 0.336
Se19 Se 0.903 0.957 0.336
Se20 Se 0.999 0.250 0.045
```

Results
ΔE_f (raw) = -1.71 eV/atom
DOS at the Fermi energy = 22.94 states/eV/cell
total magnetic moment = 3.56 μB per cell
uncorrected energy = -0.4607 Ry per atom

***

# 2
Here is a relaxed structure of NdPa3Se6 from Alexandria via LeMat-Bulk. Energies are from PBE.

CIF file:
```
data_NdPa3Se6
_symmetry_space_group_name_H-M 'P 1'
_symmetry_Int_Tables_number 1
_cell_length_a 8.727
_cell_length_b 8.727
_cell_length_c 7.188
_cell_angle_alpha 90.00
_cell_angle_beta 90.00
_cell_angle_gamma 101.91
loop_
_symmetry_equiv_pos_as_xyz
'x,y,z'
loop_
_atom_site_label
_atom_site_type_symbol
_atom_site_fract_x
_atom_site_fract_y
_atom_site_fract_z
Nd1 Nd 0.175 0.825 0.500
Nd2 Nd 0.825 0.175 0.000
Pa1 Pa 0.078 0.275 0.513
Pa2 Pa 0.275 0.078 0.013
Pa3 Pa 0.411 0.589 0.122
Pa4 Pa 0.589 0.411 0.622
Pa5 Pa 0.725 0.922 0.513
Pa6 Pa 0.922 0.725 0.013
Se1 Se 0.002 0.998 0.257
Se2 Se 0.090 0.545 0.266
Se3 Se 0.240 0.760 0.878
Se4 Se 0.293 0.376 0.822
Se5 Se 0.376 0.293 0.322
Se6 Se 0.455 0.910 0.266
Se7 Se 0.545 0.090 0.766
Se8 Se 0.624 0.707 0.822
Se9 Se 0.707 0.624 0.322
Se10 Se 0.760 0.240 0.378
Se11 Se 0.910 0.455 0.766
Se12 Se 0.998 0.002 0.757
```

Results
ΔE_f (raw) = -1.34 eV/atom
DOS at the Fermi energy = 34.81 states/eV/cell
total magnetic moment = 7.42 μB per cell
uncorrected energy = -0.4966 Ry per atom

***

# 3
Here is a relaxed structure of NdPa6Se8 from Alexandria via LeMat-Bulk. Energies are from PBE.

CIF file:
```
data_NdPa6Se8
_symmetry_space_group_name_H-M 'P 1'
_symmetry_Int_Tables_number 1
_cell_length_a 7.641
_cell_length_b 7.641
_cell_length_c 7.641
_cell_angle_alpha 69.25
_cell_angle_beta 69.25
_cell_angle_gamma 69.25
loop_
_symmetry_equiv_pos_as_xyz
'x,y,z'
loop_
_atom_site_label
_atom_site_type_symbol
_atom_site_fract_x
_atom_site_fract_y
_atom_site_fract_z
Nd1 Nd 0.000 0.000 0.000
Pa1 Pa 0.072 0.701 0.448
Pa2 Pa 0.299 0.552 0.928
Pa3 Pa 0.448 0.072 0.701
Pa4 Pa 0.552 0.928 0.299
Pa5 Pa 0.701 0.448 0.072
Pa6 Pa 0.928 0.299 0.552
Se1 Se 0.098 0.378 0.804
Se2 Se 0.196 0.902 0.622
Se3 Se 0.333 0.333 0.333
Se4 Se 0.378 0.804 0.098
Se5 Se 0.622 0.196 0.902
Se6 Se 0.667 0.667 0.667
Se7 Se 0.804 0.098 0.378
Se8 Se 0.902 0.622 0.196
```

Results
ΔE_f (raw) = -1.14 eV/atom
DOS at the Fermi energy = 26.21 states/eV/cell
total magnetic moment = 5.86 μB per cell
uncorrected energy = -0.5231 Ry per atom

***

# 4
Here is a relaxed structure of NdPaSe from Alexandria via LeMat-Bulk. Energies are from PBE.

CIF file:
```
data_NdPaSe
_symmetry_space_group_name_H-M 'P 1'
_symmetry_Int_Tables_number 1
_cell_length_a 17.327
_cell_length_b 4.151
_cell_length_c 4.151
_cell_angle_alpha 90.00
_cell_angle_beta 90.00
_cell_angle_gamma 90.00
loop_
_symmetry_equiv_pos_as_xyz
'x,y,z'
loop_
_atom_site_label
_atom_site_type_symbol
_atom_site_fract_x
_atom_site_fract_y
_atom_site_fract_z
Nd1 Nd 0.178 0.250 0.248
Nd2 Nd 0.322 0.750 0.748
Nd3 Nd 0.678 0.250 0.252
Nd4 Nd 0.822 0.750 0.752
Pa1 Pa 0.000 0.250 0.752
Pa2 Pa 0.000 0.750 0.248
Pa3 Pa 0.500 0.250 0.748
Pa4 Pa 0.500 0.750 0.252
Se1 Se 0.140 0.750 0.748
Se2 Se 0.360 0.250 0.248
Se3 Se 0.640 0.750 0.752
Se4 Se 0.860 0.250 0.252
```

Results
ΔE_f (raw) = -0.89 eV/atom
DOS at the Fermi energy = 14.71 states/eV/cell
total magnetic moment = 0.00 μB per cell
uncorrected energy = -0.5005 Ry per atom

***

Repeat the third record exactly.
Here is a relaxed structure of NdPa6Se8 from Alexandria via LeMat-Bulk. Energies are from PBE.

CIF file:
```
data_NdPa6Se8
_symmetry_space_group_name_H-M 'P 1'
_symmetry_Int_Tables_number 1
_cell_length_a 7.641
_cell_length_b 7.641
_cell_length_c 7.641
_cell_angle_alpha 69.25
_cell_angle_beta 69.25
_cell_angle_gamma 69.25
loop_
_symmetry_equiv_pos_as_xyz
'x,y,z'
loop_
_atom_site_label
_atom_site_type_symbol
_atom_site_fract_x
_atom_site_fract_y
_atom_site_fract_z
Nd1 Nd 0.000 0.000 0.000
Pa1 Pa 0.072 0.701 0.448
Pa2 Pa 0.299 0.552 0.928
Pa3 Pa 0.448 0.072 0.701
Pa4 Pa 0.552 0.928 0.299
Pa5 Pa 0.701 0.448 0.072
Pa6 Pa 0.928 0.299 0.552
Se1 Se 0.098 0.378 0.804
Se2 Se 0.196 0.902 0.622
Se3 Se 0.333 0.333 0.333
Se4 Se 0.378 0.804 0.098
Se5 Se 0.622 0.196 0.902
Se6 Se 0.667 0.667 0.667
Se7 Se 0.804 0.098 0.378
Se8 Se 0.902 0.622 0.196
```

Results
ΔE_f (raw) = -1.14 eV/atom
DOS at the Fermi energy = 26.21 states/eV/cell
total magnetic moment = 5.86 μB per cell
uncorrected energy = -0.5231 Ry per atom

***

Please write out number 1 again, unchanged.
Here is a relaxed structure of Nd2PaSe5 from Alexandria via LeMat-Bulk. Energies are from PBE.

CIF file:
```
data_Nd2PaSe5
_symmetry_space_group_name_H-M 'P 1'
_symmetry_Int_Tables_number 1
_cell_length_a 12.590
_cell_length_b 8.418
_cell_length_c 7.881
_cell_angle_alpha 90.00
_cell_angle_beta 90.00
_cell_angle_gamma 90.00
loop_
_symmetry_equiv_pos_as_xyz
'x,y,z'
loop_
_atom_site_label
_atom_site_type_symbol
_atom_site_fract_x
_atom_site_fract_y
_atom_site_fract_z
Nd1 Nd 0.179 0.002 0.024
Nd2 Nd 0.179 0.498 0.024
Nd3 Nd 0.321 0.502 0.524
Nd4 Nd 0.321 0.998 0.524
Nd5 Nd 0.679 0.002 0.476
Nd6 Nd 0.679 0.498 0.476
Nd7 Nd 0.821 0.502 0.976
Nd8 Nd 0.821 0.998 0.976
Pa1 Pa 0.007 0.750 0.574
Pa2 Pa 0.493 0.250 0.074
Pa3 Pa 0.507 0.750 0.926
Pa4 Pa 0.993 0.250 0.426
Se1 Se 0.001 0.750 0.955
Se2 Se 0.097 0.043 0.664
Se3 Se 0.097 0.457 0.664
Se4 Se 0.183 0.750 0.329
Se5 Se 0.214 0.250 0.304
Se6 Se 0.286 0.750 0.804
Se7 Se 0.317 0.250 0.829
Se8 Se 0.403 0.543 0.164
Se9 Se 0.403 0.957 0.164
Se10 Se 0.499 0.250 0.455
Se11 Se 0.501 0.750 0.545
Se12 Se 0.597 0.043 0.836
Se13 Se 0.597 0.457 0.836
Se14 Se 0.683 0.750 0.171
Se15 Se 0.714 0.250 0.196
Se16 Se 0.786 0.750 0.696
Se17 Se 0.817 0.250 0.671
Se18 Se 0.903 0.543 0.336
Se19 Se 0.903 0.957 0.336
Se20 Se 0.999 0.250 0.045
```

Results
ΔE_f (raw) = -1.71 eV/atom
DOS at the Fermi energy = 22.94 states/eV/cell
total magnetic moment = 3.56 μB per cell
uncorrected energy = -0.4607 Ry per atom

***

Which of these has the lowest uncorrected energy? NdPa6Se8